Material: BaCu2Si
Method: DFT, SCAN
State: PBEsol geometry

Properties
Its raw formation energy is -0.2679 eV/atom. As for the calculated volume: 20.674 Å³ per atom.

abc: 6.0867 6.0867 6.0867
angles: 39.66 39.66 39.66
Last column: nearest neighbours and their distance in Å.
Fractional coordinates of all 4 atoms:
Ba: 0.0000 0.0000 0.0000  8 Cu 3.14-3.42
Cu: 0.1872 0.1872 0.1872  3 Si 2.41, 3 Cu 2.48
Cu: 0.8128 0.8128 0.8128  3 Si 2.41, 3 Cu 2.48
Si: 0.5000 0.5000 0.5000  6 Cu 2.41